Below is a relaxed structure of AlSi3W, with properties calculated at the PBE-GGA level.

formation energy (no corrections)	15.30	kcal/mol of atoms
DOS at the Fermi energy	2.61	states/eV/f.u.
calculated total energy	-5.929	eV per atom
crystal system	cubic
relative energy among the computed polymorphs	0.00	eV per formula unit
SG	Pm-3m

Cell lengths 4.777, 4.777, 4.777 Å; angles 90.00, 90.00, 90.00 degrees
Atoms (fractional coordinates):
1 Si 0.000 0.500 0.000
2 Si 0.000 0.000 0.500
3 Si 0.500 0.000 0.000
4 Al 0.500 0.500 0.500
5 W 0.000 0.000 0.000